1.
# MnCo2NiN

A relaxed MnCo2NiN crystal (PBE, Alexandria).

Structure (extended XYZ):
```
5
Lattice="3.7657 0.0000 0.0000 0.0000 3.7657 0.0000 0.0000 0.0000 3.7806" Properties=species:S:1:pos:R:3 pbc="T T T"
Mn 0.0000 0.0000 0.0000
Co 0.0000 1.8828 1.8903
Co 1.8828 0.0000 1.8903
Ni 1.8828 1.8828 0.0000
N 1.8828 1.8828 1.8903
```

Output
SG   P4/mmm
E   -37.7 eV for the cell shown
Distance to the lowest polymorph of the same formula   0.015 eV/atom
E_form (uncorrected)   -0.0331 eV per atom


2.
# ErNpSc2S4

A relaxed ErNpSc2S4 crystal (PBE, Alexandria).

Structure (extended XYZ):
```
8
Lattice="6.5577 0.0000 0.0000 0.0000 3.7803 0.0000 -2.1681 0.0000 6.2139" Properties=species:S:1:pos:R:3 pbc="T T T"
Er 0.0000 0.0000 0.0000
Np -1.0841 1.8901 3.1069
Sc 2.1948 0.0000 3.1069
Sc 3.2789 1.8901 0.0000
S 1.1856 1.8901 1.5654
S 0.0970 0.0000 4.7055
S 4.2926 0.0000 1.5084
S 3.2040 1.8901 4.6484
```

Output
SG   P2/m
E   -60.8 eV for the cell shown
E_form (uncorrected)   -1.7642 eV per atom


3.
# Mo3Pt

A relaxed Mo3Pt crystal (PBE, Alexandria).

Structure (extended XYZ):
```
8
Lattice="3.8631 -3.8822 0.0000 3.8631 3.8822 0.0000 0.0000 0.0000 4.5565" Properties=species:S:1:pos:R:3 pbc="T T T"
Mo 3.8631 3.2725 3.4174
Mo 2.4399 1.6057 1.1391
Mo 5.2863 1.6057 1.1391
Mo 2.4399 -1.6057 3.4174
Mo 5.2863 -1.6057 3.4174
Mo 3.8631 -3.2725 1.1391
Pt 3.8631 0.6993 3.4174
Pt 3.8631 -0.6993 1.1391
```

Output
SG   Cmcm
E   -74.3 eV for the cell shown
Distance to the lowest polymorph of the same formula   0.475 eV/atom
ΔE_f   0.349 eV/atom


4.
# La4PrCo2

A relaxed La4PrCo2 crystal (PBE, Alexandria).

Structure (extended XYZ):
```
14
Lattice="7.1308 0.0000 0.0000 0.0000 6.9055 0.0000 -3.5158 0.0000 8.3165" Properties=species:S:1:pos:R:3 pbc="T T T"
La -0.9788 1.7264 2.3872
La 1.7760 0.0128 0.6032
La 1.7760 3.4400 0.6032
La 0.5847 5.1791 4.1063
La 3.0303 1.7264 4.2102
La 1.8390 3.4655 7.7133
La 1.8390 6.8927 7.7133
La 4.5937 5.1791 5.9292
Pr -0.8346 1.7264 5.9000
Pr 4.4496 5.1791 2.4165
Co -0.2872 5.1791 1.2680
Co -0.3139 5.1791 6.8897
Co 3.9288 1.7264 1.4268
Co 3.9021 1.7264 7.0485
```

Output
SG   P2_1/m
E   -78.3 eV for the cell shown
ΔE_f   -0.063 eV/atom


5.
# LiTbP

A relaxed LiTbP crystal (PBE, Alexandria).

Structure (extended XYZ):
```
3
Lattice="4.0423 0.0000 0.0000 -2.0212 3.5008 0.0000 0.0000 0.0000 3.8773" Properties=species:S:1:pos:R:3 pbc="T T T"
Li 0.0000 0.0000 0.0000
Tb 2.0212 1.1669 1.9387
P 0.0000 2.3338 0.0000
```

Output
SG   P-6m2
E   -14.9 eV for the cell shown
ΔE_f   -0.990 eV/atom


6.
# Cu5BPt6

A relaxed Cu5BPt6 crystal (PBE, Alexandria).

Structure (extended XYZ):
```
12
Lattice="6.1922 -3.3329 0.0000 6.1922 3.3329 0.0000 -1.3718 0.0000 3.9087" Properties=species:S:1:pos:R:3 pbc="T T T"
Cu 0.0000 0.0000 0.0000
Cu 0.9852 0.0000 2.5473
Cu 3.3173 0.0000 1.1850
Cu 7.6953 0.0000 2.7236
Cu 10.0274 0.0000 1.3614
B 6.1922 0.0000 0.0000
Pt 3.1165 1.4363 3.3102
Pt 5.5063 1.3868 1.9543
Pt 7.8961 1.4363 0.5984
Pt 3.1165 -1.4363 3.3102
Pt 5.5063 -1.3868 1.9543
Pt 7.8961 -1.4363 0.5984
```

Output
SG   C2/m
E   -64.7 eV for the cell shown
ΔE_f   -0.108 eV/atom


7.
# RbPr4S6

A relaxed RbPr4S6 crystal (PBE, Alexandria).

Structure (extended XYZ):
```
22
Lattice="2.0699 -6.9266 0.0000 2.0699 6.9266 0.0000 0.0000 0.0000 21.8733" Properties=species:S:1:pos:R:3 pbc="T T T"
Rb 2.0699 4.8884 16.4050
Rb 2.0699 -4.8884 5.4683
Pr 2.0699 5.4875 2.9456
Pr 2.0699 5.4875 7.9911
Pr 2.0699 1.8061 0.9273
Pr 2.0699 1.8061 10.0094
Pr 2.0699 -1.8061 11.8639
Pr 2.0699 -1.8061 20.9461
Pr 2.0699 -5.4875 13.8822
Pr 2.0699 -5.4875 18.9278
S 0.0000 0.0000 0.0000
S 0.0000 0.0000 10.9367
S 2.0699 4.5683 5.4683
S 2.0699 3.1699 12.6465
S 2.0699 3.1699 20.1635
S 2.0699 0.4261 3.3126
S 2.0699 0.4261 7.6240
S 2.0699 -0.4261 14.2493
S 2.0699 -0.4261 18.5607
S 2.0699 -3.1699 1.7099
S 2.0699 -3.1699 9.2268
S 2.0699 -4.5683 16.4050
```

Output
SG   Cmcm
E   -131.7 eV for the cell shown
Distance to the lowest polymorph of the same formula   0.000 eV/atom
E_form (uncorrected)   -1.9099 eV per atom


8.
# CaSiGe2

A relaxed CaSiGe2 crystal (PBE, Alexandria).

Structure (extended XYZ):
```
8
Lattice="-2.3112 2.3112 8.8791 2.3112 -2.3112 8.8791 2.3112 2.3112 -8.8791" Properties=species:S:1:pos:R:3 pbc="T T T"
Ca 0.0000 0.0000 0.0000
Ca 0.0000 2.3112 4.4396
Si 2.3112 0.0000 4.4396
Si 0.0000 0.0000 8.8791
Ge 1.1556 -0.6482 6.6593
Ge 1.6630 1.1556 2.2198
Ge 1.1556 2.9594 -2.2198
Ge 0.6482 1.1556 11.0989
```

Output
SG   I-42d
E   -33.7 eV for the cell shown
E_form (uncorrected)   -0.0422 eV per atom


What is the formula in the third record? Mo3Pt